VASP calculation (PBE-GGA) on crystalline Ti3InAu4 at its relaxed geometry.

Unit cell a=4.363 b=4.363 c=7.554 alpha=90.00 beta=90.00 gamma=90.00
Positions (direct):
Ti (0.000, 0.000, 0.000)
Ti (0.000, 0.000, 0.500)
Ti (0.500, 0.500, 0.000)
In (0.500, 0.500, 0.500)
Au (0.000, 0.500, 0.241)
Au (0.000, 0.500, 0.759)
Au (0.500, 0.000, 0.241)
Au (0.500, 0.000, 0.759)

**E_form**: -314 meV/atom